Mg2CdAg3: relaxed, GGA-PBE.

```
Mg2CdAg3
1.0
7.3230 -2.8802 0.0000
7.3230 2.8802 0.0000
-0.4998 0.0000 5.3480
Mg Cd Ag
4 2 6
direct
0.0350 0.2958 0.0889
0.2958 0.0350 0.5889
0.7042 0.9650 0.4111
0.9650 0.7042 0.9111
0.3813 0.6187 0.7500
0.6187 0.3813 0.2500
0.1172 0.8828 0.2500
0.2000 0.4599 0.4110
0.4599 0.2000 0.9110
0.5401 0.8000 0.0890
0.8000 0.5401 0.5890
0.8828 0.1172 0.7500
```

M_tot = 0.0 μB per cell
Volume = 18.80 Å³ per atom
Energy above the most stable polymorph in this dataset = 0.0262 eV per atom
Energy of formation = -0.16 eV/atom

***

Rb2PdPbO4: relaxed, GGA-PBE.

```
Rb2PdPbO4
1.0
-3.2506 3.2506 3.5873
3.2506 -3.2506 3.5873
3.2506 3.2506 -3.5873
Rb Pd Pb O
2 1 1 4
direct
0.0000 0.0000 0.0000
0.7500 0.2500 0.5000
0.5000 0.5000 0.0000
0.2500 0.7500 0.5000
0.2859 0.7031 0.8668
0.2969 0.1637 0.5827
0.5810 0.7141 0.4173
0.8363 0.4190 0.1332
```

M_tot = 0.0 μB per cell
Volume = 18.95 Å³ per atom
Raw formation energy = -0.8899 eV/atom

***

Sr2YSc: relaxed, GGA-PBE.

```
Sr2YSc
1.0
0.0000 4.2251 4.2251
4.2251 0.0000 4.2251
4.2251 4.2251 0.0000
Sr Y Sc
2 1 1
direct
0.2500 0.2500 0.2500
0.7500 0.7500 0.7500
0.0000 0.0000 0.0000
0.5000 0.5000 0.5000
```

M_tot = 0.5 μB per cell
Volume = 37.71 Å³ per atom
Energy above the most stable polymorph in this dataset = 0.2140 eV per atom
Energy of formation = 0.37 eV/atom